VASP calculation (PBE) on a relaxed structure of Sn4P2O9.

Output
Raw formation energy (kJ/mol of atoms): -169.7
Energy above the lowest structure with this stoichiometry (meV per atom): 20
Space-group type: P-1

Cell lengths 7.3161, 8.1196, 11.1363 Å; angles 70.09, 75.99, 69.77 degrees
Last column: nearest neighbours and their distance in Å.
Fractional positions:
O (0.6480, 0.9660, 0.2836)  1 P 1.56
O (0.8189, 0.3979, 0.0785)  1 P 1.55
O (0.6480, 0.7571, 0.7689)  1 P 1.56
Sn (0.8654, 0.9403, 0.3929)  3 O 2.12-2.16
Sn (0.2149, 0.4569, 0.3188)  2 O 2.11-2.13
Sn (0.4714, 0.7792, 0.1024)  3 O 2.10-2.21
O (0.8552, 0.2264, 0.3196)  1 P 1.53
O (0.3356, 0.9934, 0.4465)  1 P 1.54
O (0.7754, 0.3184, 0.8496)  3 Sn 2.10-2.13
Sn (0.1346, 0.0597, 0.6071)  3 O 2.12-2.16
P (0.7987, 0.4099, 0.2177)  4 O 1.53-1.59
O (0.5831, 0.5244, 0.2522)  1 P 1.56
Sn (0.7851, 0.5431, 0.6812)  2 O 2.11-2.13
O (0.1448, 0.7736, 0.6804)  1 P 1.53
O (0.3520, 0.2429, 0.2311)  1 P 1.56
O (0.0575, 0.4780, 0.7882)  1 P 1.59
P (0.5816, 0.9661, 0.6984)  4 O 1.54-1.56
O (0.3411, 0.9308, 0.2395)  1 P 1.55
O (0.1811, 0.6021, 0.9215)  1 P 1.55
O (0.4168, 0.4756, 0.7478)  1 P 1.56
P (0.4184, 0.0339, 0.3016)  4 O 1.54-1.56
Sn (0.5286, 0.2208, 0.8976)  3 O 2.10-2.21
O (0.2246, 0.6816, 0.1504)  3 Sn 2.10-2.13
O (0.6644, 0.0066, 0.5535)  1 P 1.54
O (0.6589, 0.0692, 0.7605)  1 P 1.55
Sn (0.9912, 0.7590, 0.0454)  3 O 2.10-2.23
O (0.3520, 0.0340, 0.7164)  1 P 1.56
Sn (0.0088, 0.2410, 0.9546)  3 O 2.10-2.23
P (0.2013, 0.5901, 0.7823)  4 O 1.53-1.59
O (0.9425, 0.5220, 0.2118)  1 P 1.59

---

VASP calculation (PBE) on a relaxed structure of SnP2O2.

Output
Raw formation energy (kJ/mol of atoms): 100.9
Energy above the lowest structure with this stoichiometry (meV per atom): 1530
Space-group type: P4/mmm

Cell lengths 5.0995, 5.0995, 3.8761 Å; angles 90.00, 90.00, 90.00 degrees
Last column: nearest neighbours and their distance in Å.
Fractional positions:
O (0.0000, 0.0000, 0.5000)  2 Sn 1.94
P (0.5000, 0.0000, 0.0000)  2 Sn 2.55
P (0.0000, 0.5000, 0.0000)  2 Sn 2.55
O (0.5000, 0.5000, 0.5000)  8 P 3.20
Sn (0.0000, 0.0000, 0.0000)  2 O 1.94

---

VASP calculation (PBE) on a relaxed structure of Sn4P3O12.

Output
Raw formation energy (kJ/mol of atoms): -174.1
Energy above the lowest structure with this stoichiometry (meV per atom): 7
Space-group type: R3c

Cell lengths 10.1783, 10.1783, 10.1783 Å; angles 58.70, 58.70, 58.70 degrees
Last column: nearest neighbours and their distance in Å.
Fractional positions:
O (0.2776, 0.8454, 0.0331)  1 P 1.56
O (0.5424, 0.1923, 0.3664)  1 P 1.55
P (0.2103, 0.7331, 0.7017)  4 O 1.55-1.56
O (0.3331, 0.2186, 0.7572)  1 P 1.56
O (0.7572, 0.3331, 0.2186)  1 P 1.56
O (0.1923, 0.3664, 0.5424)  1 P 1.55
O (0.2186, 0.7572, 0.3331)  1 P 1.56
O (0.2000, 0.5660, 0.7477)  1 P 1.56
O (0.8664, 0.6923, 0.0424)  1 P 1.55
P (0.7103, 0.2017, 0.2331)  4 O 1.55-1.56
O (0.7186, 0.8331, 0.2572)  1 P 1.56
O (0.5331, 0.3454, 0.7776)  1 P 1.56
Sn (0.8186, 0.8186, 0.8186)  3 O 2.13
Sn (0.3325, 0.9017, 0.2966)  3 O 2.09-2.10
P (0.7017, 0.2103, 0.7331)  4 O 1.55-1.56
O (0.8454, 0.0331, 0.2776)  1 P 1.56
O (0.7477, 0.2000, 0.5660)  1 P 1.56
O (0.7000, 0.2477, 0.0660)  1 P 1.56
O (0.3664, 0.5424, 0.1923)  1 P 1.55
O (0.2572, 0.7186, 0.8331)  1 P 1.56
O (0.0331, 0.2776, 0.8454)  1 P 1.56
O (0.0660, 0.7000, 0.2477)  1 P 1.56
P (0.7331, 0.7017, 0.2103)  4 O 1.55-1.56
O (0.6923, 0.0424, 0.8664)  1 P 1.55
Sn (0.8325, 0.7966, 0.4017)  3 O 2.09-2.10
O (0.8331, 0.2572, 0.7186)  1 P 1.56
Sn (0.9017, 0.2966, 0.3325)  3 O 2.09-2.10
Sn (0.7966, 0.4017, 0.8325)  3 O 2.09-2.10
O (0.5660, 0.7477, 0.2000)  1 P 1.56
Sn (0.3186, 0.3186, 0.3186)  3 O 2.13
O (0.2477, 0.0660, 0.7000)  1 P 1.56
Sn (0.4017, 0.8325, 0.7966)  3 O 2.09-2.10
O (0.0424, 0.8664, 0.6923)  1 P 1.55
Sn (0.2966, 0.3325, 0.9017)  3 O 2.09-2.10
P (0.2017, 0.2331, 0.7103)  4 O 1.55-1.56
P (0.2331, 0.7103, 0.2017)  4 O 1.55-1.56
O (0.7776, 0.5331, 0.3454)  1 P 1.56
O (0.3454, 0.7776, 0.5331)  1 P 1.56

---

VASP calculation (PBE) on a relaxed structure of Sn4P2O9.

Output
Raw formation energy (kJ/mol of atoms): -171.6
Energy above the lowest structure with this stoichiometry (meV per atom): 0
Space-group type: P2_1/c

Cell lengths 7.2290, 9.6685, 15.2229 Å; angles 109.18, 90.00, 90.00 degrees
Last column: nearest neighbours and their distance in Å.
Fractional positions:
Sn (0.9238, 0.3021, 0.0908)  3 O 2.15-2.23
O (0.3398, 0.0799, 0.1115)  1 P 1.53
Sn (0.2433, 0.6685, 0.1837)  3 O 2.17-2.33
O (0.2613, 0.8170, 0.5325)  1 P 1.55
O (0.7614, 0.4879, 0.5942)  1 P 1.56
Sn (0.5762, 0.3021, 0.5908)  3 O 2.15-2.23
O (0.2531, 0.9186, 0.7055)  1 P 1.59
P (0.7431, 0.6299, 0.1806)  4 O 1.55-1.57
O (0.5462, 0.6908, 0.2094)  1 P 1.55
O (0.2387, 0.8170, 0.0325)  1 P 1.55
Sn (0.9445, 0.7152, 0.3992)  3 O 2.18-2.20
Sn (0.5555, 0.7152, 0.8992)  3 O 2.18-2.20
Sn (0.4238, 0.6979, 0.4092)  3 O 2.15-2.23
Sn (0.7567, 0.3315, 0.8163)  3 O 2.17-2.33
O (0.1602, 0.0799, 0.6115)  1 P 1.53
Sn (0.7270, 0.9449, 0.1411)  3 O 2.17-2.28
O (0.4979, 0.0140, 0.6161)  1 P 1.55
O (0.6602, 0.9201, 0.8885)  1 P 1.53
O (0.3626, 0.2490, 0.3391)  1 P 1.56
O (0.1607, 0.4132, 0.7396)  1 P 1.57
O (0.2015, 0.7537, 0.3331)  3 Sn 2.15-2.20
Sn (0.0555, 0.2848, 0.6008)  3 O 2.18-2.20
Sn (0.7730, 0.9449, 0.6411)  3 O 2.17-2.28
Sn (0.2730, 0.0551, 0.8589)  3 O 2.17-2.28
O (0.0021, 0.0140, 0.1161)  1 P 1.55
Sn (0.2270, 0.0551, 0.3589)  3 O 2.17-2.28
P (0.7042, 0.0396, 0.3851)  4 O 1.53-1.59
Sn (0.0762, 0.6979, 0.9092)  3 O 2.15-2.23
O (0.8626, 0.7510, 0.1609)  1 P 1.56
O (0.5021, 0.9860, 0.3839)  1 P 1.55
O (0.4538, 0.3092, 0.7906)  1 P 1.55
O (0.7015, 0.2463, 0.1669)  3 Sn 2.15-2.20
O (0.2985, 0.7537, 0.8331)  3 Sn 2.15-2.20
P (0.2958, 0.9604, 0.6149)  4 O 1.53-1.59
O (0.7387, 0.1830, 0.4675)  1 P 1.55
O (0.2386, 0.5121, 0.4058)  1 P 1.56
O (0.8393, 0.5868, 0.2604)  1 P 1.57
O (0.2614, 0.5121, 0.9058)  1 P 1.56
Sn (0.7433, 0.3315, 0.3163)  3 O 2.17-2.33
P (0.2569, 0.3701, 0.8194)  4 O 1.55-1.57
O (0.9538, 0.6908, 0.7094)  1 P 1.55
O (0.8398, 0.9201, 0.3885)  1 P 1.53
O (0.3393, 0.4132, 0.2396)  1 P 1.57
O (0.2469, 0.9186, 0.2055)  1 P 1.59
P (0.2042, 0.9604, 0.1149)  4 O 1.53-1.59
O (0.7531, 0.0814, 0.7945)  1 P 1.59
O (0.7613, 0.1830, 0.9675)  1 P 1.55
O (0.9979, 0.9860, 0.8839)  1 P 1.55
O (0.6374, 0.7510, 0.6609)  1 P 1.56
O (0.1374, 0.2490, 0.8391)  1 P 1.56
O (0.6607, 0.5868, 0.7604)  1 P 1.57
O (0.7469, 0.0814, 0.2945)  1 P 1.59
O (0.0462, 0.3092, 0.2906)  1 P 1.55
Sn (0.2567, 0.6685, 0.6837)  3 O 2.17-2.33
O (0.7386, 0.4879, 0.0942)  1 P 1.56
O (0.7985, 0.2463, 0.6669)  3 Sn 2.15-2.20
P (0.2431, 0.3701, 0.3194)  4 O 1.55-1.57
Sn (0.4445, 0.2848, 0.1008)  3 O 2.18-2.20
P (0.7569, 0.6299, 0.6806)  4 O 1.55-1.57
P (0.7958, 0.0396, 0.8851)  4 O 1.53-1.59

---

VASP calculation (PBE) on a relaxed structure of SrSnP2O.

Output
Raw formation energy (kJ/mol of atoms): -31.1
Energy above the lowest structure with this stoichiometry (meV per atom): 0
Space-group type: P4/mmm

Cell lengths 5.2401, 5.2401, 4.1117 Å; angles 90.00, 90.00, 90.00 degrees
Last column: nearest neighbours and their distance in Å.
Fractional positions:
P (0.5000, 0.0000, 0.0000)  2 Sn 2.62
Sr (0.5000, 0.5000, 0.5000)  8 P 3.33, 4 O 3.71
O (0.0000, 0.0000, 0.5000)  2 Sn 2.06
P (0.0000, 0.5000, 0.0000)  2 Sn 2.62
Sn (0.0000, 0.0000, 0.0000)  2 O 2.06

---

VASP calculation (PBE) on a relaxed structure of SrSnP2O.

Output
Raw formation energy (kJ/mol of atoms): 50.4
Energy above the lowest structure with this stoichiometry (meV per atom): 845
Space-group type: P4/mmm

Cell lengths 5.6402, 5.6402, 4.3773 Å; angles 90.00, 90.00, 90.00 degrees
Last column: nearest neighbours and their distance in Å.
Fractional positions:
Sr (0.0000, 0.0000, 0.0000)  2 O 2.19
P (0.0000, 0.5000, 0.0000)  2 Sr 2.82
P (0.5000, 0.0000, 0.0000)  2 Sr 2.82
Sn (0.5000, 0.5000, 0.5000)  8 P 3.57, 4 O 3.99
O (0.0000, 0.0000, 0.5000)  2 Sr 2.19

---

no.,total DFT energy (no corrections) (eV per atom),N(E_F) (states/eV per cell)
1,-6.523,0.00
2,-3.902,3.68
3,-6.632,24.97
4,-6.542,0.00
5,-4.615,5.26
6,-3.770,4.76